Arrangement A

First-principles (GGA-PBE) data for a relaxed structure of PmHo2Ru, as listed in Alexandria via LeMat-Bulk.

The calculation puts the theoretical density at 9.032 Mg/m³.

The space group is P4/mmm (No. 123) and the conventional cell measures 3.4302, 3.4302 and 8.9993 Å, with angles of 90.00, 90.00 and 90.00 degrees. The asymmetric unit holds Pm at (0.0000, 0.0000, 0.0000), Ho at (0.5000, 0.5000, 0.3190) and Ru at (0.0000, 0.0000, 0.5000).



Arrangement B

First-principles (GGA-PBE) data for a relaxed structure of PmHo2Ru, as listed in Alexandria via LeMat-Bulk.

The calculation puts the theoretical density at 8.845 Mg/m³.

The space group is Cmcm (No. 63) and the conventional cell measures 3.9049, 12.1042 and 9.1509 Å, with angles of 90.00, 90.00 and 90.00 degrees. The asymmetric unit holds Pm at (0.0000, 0.0744, 0.2500), Ho at (0.0000, 0.3548, 0.0690) and Ru at (0.0000, 0.2552, 0.7500).



Arrangement C

First-principles (GGA-PBE) data for a relaxed structure of PmHo2Ru, as listed in Alexandria via LeMat-Bulk.

The calculation puts the theoretical density at 8.352 Mg/m³.

The space group is R-3m (No. 166, hexagonal axes) and the conventional cell measures 3.5018, 3.5018 and 32.3497 Å, with angles of 90.00, 90.00 and 120.00 degrees. The asymmetric unit holds Pm at (0.0000, 0.0000, 0.0000), Ho at (0.0000, 0.0000, 0.1084) and Ru at (0.0000, 0.0000, 0.5000).



Arrangement D

First-principles (GGA-PBE) data for a relaxed structure of PmHo2Ru, as listed in Alexandria via LeMat-Bulk.

The calculation puts the theoretical density at 8.876 Mg/m³.

The space group is Pnma (No. 62) and the conventional cell measures 7.3236, 9.2257 and 6.3785 Å, with angles of 90.00, 90.00 and 90.00 degrees. The asymmetric unit holds Pm at (0.0405, 0.2500, 0.1324), Ho at (0.1764, 0.0657, 0.6674) and Ru at (0.1142, 0.7500, 0.4511).



arrangement D wins, 1.5 kJ/mol of atoms ahead of the next structure.



Arrangement A

First-principles (GGA-PBE) data for a relaxed structure of PmHoZnRu, as listed in Alexandria via LeMat-Bulk.

The calculation puts the theoretical density at 9.108 Mg/m³.

The space group is F-43m (No. 216) and the conventional cell measures 7.0299, 7.0299 and 7.0299 Å, with angles of 90.00, 90.00 and 90.00 degrees. The asymmetric unit holds Pm at (0.0000, 0.0000, 0.0000), Ho at (0.0000, 0.0000, 0.5000), Zn at (0.2500, 0.2500, 0.7500) and Ru at (0.2500, 0.2500, 0.2500).



Arrangement B

First-principles (GGA-PBE) data for a relaxed structure of PmHoZnRu, as listed in Alexandria via LeMat-Bulk.

The calculation puts the theoretical density at 8.645 Mg/m³.

The space group is Amm2 (No. 38) and the conventional cell measures 4.3094, 3.9874 and 10.6505 Å, with angles of 90.00, 90.00 and 90.00 degrees. The asymmetric unit holds Pm at (0.0000, 0.0000, 0.0000), Ho at (0.5000, 0.0000, 0.2826), Zn at (0.5000, 0.0000, 0.5779) and Ru at (0.0000, 0.0000, 0.7215).



arrangement A wins, 1.0 kJ/mol of atoms ahead of the next structure.